No. 1
A relaxed structure of K2Tl6CdGa. Source: the Alexandria database, functional PBE-GGA.

POSCAR file:
```
K2Tl6CdGa
1.0
7.698 0.000 0.000
3.849 6.667 0.000
3.849 2.222 13.813
Cd Tl Ga K
2 12 2 4
direct
0.500 0.500 0.500
0.000 0.000 0.000
0.767 0.202 0.830
0.643 0.075 0.640
0.798 0.798 0.170
0.075 0.643 0.640
0.925 0.357 0.360
0.798 0.233 0.170
0.643 0.643 0.640
0.233 0.798 0.170
0.357 0.357 0.360
0.202 0.767 0.830
0.357 0.925 0.360
0.202 0.202 0.830
0.581 0.581 0.256
0.419 0.419 0.744
0.863 0.863 0.411
0.308 0.308 0.075
0.692 0.692 0.925
0.137 0.137 0.589
```

## Properties
Its energy relative to the elements is 14.9 kJ/mol of formula units. The density is 7.0 g cm⁻³. As for the space group: R-3m. The total energy is -2.02 eV per atom.

***

No. 2
A relaxed structure of La8Ge3I3N. Source: the Alexandria database, functional PBE-GGA.

POSCAR file:
```
La8Ge3I3N
1.0
8.607 -0.002 -0.001
-4.305 7.453 -0.029
0.000 -4.933 7.982
La Ge I N
8 3 3 1
direct
0.769 0.977 0.685
0.208 0.416 0.685
0.734 0.468 0.702
0.266 0.532 0.298
0.231 0.023 0.315
0.792 0.023 0.315
0.792 0.584 0.315
0.208 0.977 0.685
0.500 0.000 0.500
0.000 0.500 0.500
0.500 0.500 0.500
0.000 0.500 0.000
0.000 0.000 0.000
0.500 0.500 0.000
0.000 0.000 0.500
```

## Properties
The uncorrected formation energy comes out at -0.97 eV per atom. The density is 5.6 g cm⁻³. As for the space group: R-3m. The total energy is -5.38 eV per atom.